Compound: GaCo3
Source: Alexandria
Functional: meta-GGA SCAN
Structure: PBEsol geometry

Output
* DFT formation energy: -0.084 eV per atom
* D(E_F): 0.58 states/eV/atom
* calculated volume: 43.8 Å³/f.u.
* crystal system: tetragonal
* size of the total moment: 4.64 μB/f.u.

```
4
Lattice="-1.807 1.807 3.352 1.807 -1.807 3.352 1.807 1.807 -3.352" Properties=species:S:1:pos:R:3 pbc="T T T"
Ga 0.000 0.000 0.000
Co 1.807 0.000 1.676
Co 0.000 0.000 3.352
Co 0.000 1.807 1.676
```

---

Compound: Gd2Ga9Co3
Source: Alexandria
Functional: meta-GGA SCAN
Structure: PBEsol geometry

Output
* DFT formation energy: -0.480 eV per atom
* D(E_F): 0.39 states/eV/atom
* calculated volume: 213.2 Å³/f.u.
* crystal system: orthorhombic
* size of the total moment: 14.48 μB/f.u.

```
28
Lattice="6.282 -3.651 0.000 6.282 3.651 0.000 0.000 0.000 9.299" Properties=species:S:1:pos:R:3 pbc="T T T"
Gd 4.218 2.432 6.974
Gd 8.345 2.432 6.974
Gd 4.218 -2.432 2.325
Gd 8.345 -2.432 2.325
Ga 4.188 2.426 0.665
Ga 4.188 2.426 3.985
Ga 6.282 2.758 2.325
Ga 6.282 1.211 5.176
Ga 6.282 1.211 8.772
Ga 8.375 2.426 0.665
Ga 8.375 2.426 3.985
Ga 4.943 0.414 2.325
Ga 4.943 -0.414 6.974
Ga 7.620 0.414 2.325
Ga 7.620 -0.414 6.974
Ga 4.188 -2.426 5.314
Ga 4.188 -2.426 8.634
Ga 6.282 -1.211 0.526
Ga 6.282 -1.211 4.123
Ga 6.282 -2.758 6.974
Ga 8.375 -2.426 5.314
Ga 8.375 -2.426 8.634
Co 0.000 0.000 0.000
Co 0.000 0.000 4.649
Co 4.137 0.000 0.000
Co 4.137 0.000 4.649
Co 8.426 0.000 0.000
Co 8.426 0.000 4.649
```

---

Compound: Gd4Ga16Co3
Source: Alexandria
Functional: meta-GGA SCAN
Structure: PBEsol geometry

Output
* DFT formation energy: -0.536 eV per atom
* D(E_F): 0.19 states/eV/atom
* calculated volume: 388.0 Å³/f.u.
* crystal system: tetragonal
* size of the total moment: 28.12 μB/f.u.

```
23
Lattice="5.949 0.000 0.000 0.000 5.949 0.000 0.000 0.000 10.962" Properties=species:S:1:pos:R:3 pbc="T T T"
Gd 0.000 2.974 2.136
Gd 0.000 2.974 8.827
Gd 2.974 0.000 2.136
Gd 2.974 0.000 8.827
Ga 0.000 0.000 2.144
Ga 0.000 0.000 8.819
Ga 1.305 1.305 0.000
Ga 1.305 4.644 0.000
Ga 1.491 1.491 4.218
Ga 1.491 1.491 6.745
Ga 1.491 4.458 4.218
Ga 1.491 4.458 6.745
Ga 2.974 2.974 2.395
Ga 2.974 2.974 8.568
Ga 4.458 1.491 4.218
Ga 4.458 1.491 6.745
Ga 4.458 4.458 4.218
Ga 4.458 4.458 6.745
Ga 4.644 1.305 0.000
Ga 4.644 4.644 0.000
Co 0.000 2.974 5.481
Co 2.974 0.000 5.481
Co 2.974 2.974 0.000
```

---

Compound: GaCo4Ge3
Source: Alexandria
Functional: meta-GGA SCAN
Structure: PBEsol geometry

Output
* DFT formation energy: -0.175 eV per atom
* D(E_F): 0.18 states/eV/atom
* calculated volume: 95.1 Å³/f.u.
* crystal system: trigonal
* size of the total moment: 3.06 μB/f.u.

```
8
Lattice="3.213 1.855 2.660 -3.213 1.855 2.660 0.000 -3.710 2.660" Properties=species:S:1:pos:R:3 pbc="T T T"
Ga 0.000 0.000 0.000
Co -1.601 -1.937 3.541
Co 0.000 0.000 2.408
Co -0.877 2.355 3.541
Co 2.478 -0.418 3.541
Ge -1.635 0.259 4.353
Ge 0.593 -1.546 4.353
Ge 1.042 1.287 4.353
```